Record 1
A plane-wave DFT calculation with PBE was carried out for a relaxed PaZnCdGe crystal.

a = 4.8932 Å, b = 4.8932 Å, c = 4.8932 Å
α = 60.00°, β = 60.00°, γ = 60.00°
Closest atoms and distances in Å follow each position.
Fractional coordinates of all 4 atoms:
Pa (0.0000, 0.0000, 0.0000)  4 Ge 3.00, 4 Zn 3.00
Zn (0.7500, 0.7500, 0.7500)  4 Cd 3.00, 4 Pa 3.00
Cd (0.5000, 0.5000, 0.5000)  4 Zn 3.00, 4 Ge 3.00
Ge (0.2500, 0.2500, 0.2500)  4 Cd 3.00, 4 Pa 3.00

Summary:
Theoretical density   9.651 g cm⁻³
Calculated formation energy   -0.03 eV/atom
Calculated total energy   -16.43 eV per cell
Magnetization   0.767 Bohr magnetons per cell

Record 2
A plane-wave DFT calculation with PBE was carried out for a relaxed CdGePb2 crystal.

a = 7.7851 Å, b = 7.7851 Å, c = 7.7851 Å
α = 127.52°, β = 127.52°, γ = 77.41°
Closest atoms and distances in Å follow each position.
Fractional coordinates of all 8 atoms:
Cd (0.0000, 0.0000, 0.0000)  4 Pb 2.97
Cd (0.7500, 0.2500, 0.5000)  4 Pb 2.97
Ge (0.2500, 0.7500, 0.5000)  4 Pb 2.78
Ge (0.5000, 0.5000, 0.0000)  4 Pb 2.78
Pb (0.1484, 0.6250, 0.0234)  2 Ge 2.78, 2 Cd 2.97
Pb (0.3750, 0.3984, 0.5234)  2 Ge 2.78, 2 Cd 2.97
Pb (0.6016, 0.1250, 0.9766)  2 Ge 2.78, 2 Cd 2.97
Pb (0.8750, 0.8516, 0.4766)  2 Ge 2.78, 2 Cd 2.97

Summary:
Theoretical density   6.914 g cm⁻³
Energy above the lowest structure with this stoichiometry   162 meV per atom
Calculated formation energy   0.31 eV/atom
Calculated total energy   -23.45 eV per cell
Magnetization   0.000 Bohr magnetons per cell

Record 3
A plane-wave DFT calculation with PBE was carried out for a relaxed Cd2GePb crystal.

a = 6.2227 Å, b = 6.2227 Å, c = 6.2227 Å
α = 43.39°, β = 43.39°, γ = 43.39°
Closest atoms and distances in Å follow each position.
Fractional coordinates of all 4 atoms:
Cd (0.2314, 0.2314, 0.2314)  3 Ge 2.87, 3 Pb 3.16
Cd (0.7686, 0.7686, 0.7686)  3 Ge 2.87, 3 Pb 3.16
Ge (0.5000, 0.5000, 0.5000)  6 Cd 2.87
Pb (0.0000, 0.0000, 0.0000)  6 Cd 3.16

Summary:
Theoretical density   8.125 g cm⁻³
Energy above the lowest structure with this stoichiometry   23 meV per atom
Calculated formation energy   0.17 eV/atom
Calculated total energy   -9.46 eV per cell
Magnetization   0.000 Bohr magnetons per cell